1.
# MnInTe2 (PBE, optimized geometry)
# **ΔE_f (raw)**: -0.73 eV per formula unit
data_MnInTe2
_chemical_formula_sum 'Mn3 In3 Te6'
_cell_length_a 4.0747
_cell_length_b 4.0747
_cell_length_c 23.2333
_cell_angle_alpha 90.00
_cell_angle_beta 90.00
_cell_angle_gamma 120.00
_space_group_name_H-M_alt 'R 3 m'
_space_group_IT_number 160
_space_group_name_Hall 'R 3 -2"'
loop_
_atom_site_label
_atom_site_fract_x
_atom_site_fract_y
_atom_site_fract_z
Mn1 0.0000 0.0000 0.0000
In1 0.0000 0.0000 0.8331
Te1 0.0000 0.0000 0.3989
Te2 0.0000 0.0000 0.5991

2.
# MnInTe (PBE, optimized geometry)
# **ΔE_f (raw)**: 0.42 eV per formula unit
# **Offset from the most stable computed form**: 67 meV per atom
data_MnInTe
_chemical_formula_sum 'Mn1 In1 Te1'
_cell_length_a 4.6199
_cell_length_b 4.6199
_cell_length_c 4.4599
_cell_angle_alpha 90.00
_cell_angle_beta 90.00
_cell_angle_gamma 120.00
_space_group_name_H-M_alt 'P 3 m 1'
_space_group_IT_number 156
_space_group_name_Hall 'P 3 -2"'
loop_
_atom_site_label
_atom_site_fract_x
_atom_site_fract_y
_atom_site_fract_z
Mn1 0.0000 0.0000 0.0000
In1 0.3333 0.6667 0.5022
Te1 0.6667 0.3333 0.0025

3.
# MnInTe (PBE, optimized geometry)
# **ΔE_f (raw)**: 0.33 eV per formula unit
# **Offset from the most stable computed form**: 35 meV per atom
data_MnInTe
_chemical_formula_sum 'Mn1 In1 Te1'
_cell_length_a 3.7180
_cell_length_b 3.7180
_cell_length_c 6.0618
_cell_angle_alpha 90.00
_cell_angle_beta 90.00
_cell_angle_gamma 120.00
_space_group_name_H-M_alt 'P 3 m 1'
_space_group_IT_number 156
_space_group_name_Hall 'P 3 -2"'
loop_
_atom_site_label
_atom_site_fract_x
_atom_site_fract_y
_atom_site_fract_z
Mn1 0.0000 0.0000 0.0000
In1 0.3333 0.6667 0.6950
Te1 0.6667 0.3333 0.2607

4.
# MnInTe3 (PBE, optimized geometry)
# **ΔE_f (raw)**: 6.71 eV per formula unit
# **Offset from the most stable computed form**: 1510 meV per atom
data_MnInTe3
_chemical_formula_sum 'Mn1 In1 Te3'
_cell_length_a 5.5901
_cell_length_b 5.5901
_cell_length_c 5.5901
_cell_angle_alpha 90.00
_cell_angle_beta 90.00
_cell_angle_gamma 90.00
_space_group_name_H-M_alt 'P m -3 m'
_space_group_IT_number 221
_space_group_name_Hall '-P 4 2 3'
loop_
_atom_site_label
_atom_site_fract_x
_atom_site_fract_y
_atom_site_fract_z
Mn1 0.0000 0.0000 0.0000
In1 0.5000 0.5000 0.5000
Te1 0.0000 0.5000 0.5000

5.
# MnInTe (PBE, optimized geometry)
# **ΔE_f (raw)**: 0.44 eV per formula unit
# **Offset from the most stable computed form**: 73 meV per atom
data_MnInTe
_chemical_formula_sum 'Mn2 In2 Te2'
_cell_length_a 3.4465
_cell_length_b 3.4465
_cell_length_c 12.1147
_cell_angle_alpha 90.00
_cell_angle_beta 90.00
_cell_angle_gamma 90.00
_space_group_name_H-M_alt 'I 4 m m'
_space_group_IT_number 107
_space_group_name_Hall 'I 4 -2'
loop_
_atom_site_label
_atom_site_fract_x
_atom_site_fract_y
_atom_site_fract_z
Mn1 0.0000 0.0000 0.0000
In1 0.0000 0.0000 0.3450
Te1 0.0000 0.0000 0.6115

6.
# Mn2In2Te5 (PBE, optimized geometry)
# **ΔE_f (raw)**: -1.00 eV per formula unit
data_Mn2In2Te5
_chemical_formula_sum 'Mn4 In4 Te10'
_cell_length_a 21.6226
_cell_length_b 4.2991
_cell_length_c 7.3688
_cell_angle_alpha 90.00
_cell_angle_beta 107.27
_cell_angle_gamma 90.00
_space_group_name_H-M_alt 'C 1 2/m 1'
_space_group_IT_number 12
_space_group_name_Hall '-C 2y'
loop_
_atom_site_label
_atom_site_fract_x
_atom_site_fract_y
_atom_site_fract_z
Mn1 0.0738 0.0000 0.2640
In1 0.1276 0.5000 0.8938
Te1 0.0000 0.5000 0.0000
Te2 0.1032 0.5000 0.5039
Te3 0.1831 0.0000 0.1350

7.
# MnIn4Te (PBE, optimized geometry)
# **ΔE_f (raw)**: 2.30 eV per formula unit
data_MnIn4Te
_chemical_formula_sum 'Mn4 In16 Te4'
_cell_length_a 8.6959
_cell_length_b 8.6959
_cell_length_c 8.6959
_cell_angle_alpha 90.00
_cell_angle_beta 90.00
_cell_angle_gamma 90.00
_space_group_name_H-M_alt 'F -4 3 m'
_space_group_IT_number 216
_space_group_name_Hall 'F -4 2 3'
loop_
_atom_site_label
_atom_site_fract_x
_atom_site_fract_y
_atom_site_fract_z
Mn1 0.0000 0.0000 0.0000
In1 0.1255 0.1255 0.3745
Te1 0.2500 0.2500 0.7500

8.
# MnInTe2 (PBE, optimized geometry)
# **ΔE_f (raw)**: -0.65 eV per formula unit
data_MnInTe2
_chemical_formula_sum 'Mn4 In4 Te8'
_cell_length_a 7.4588
_cell_length_b 4.7190
_cell_length_c 13.9101
_cell_angle_alpha 90.00
_cell_angle_beta 90.00
_cell_angle_gamma 90.00
_space_group_name_H-M_alt 'P n m a'
_space_group_IT_number 62
_space_group_name_Hall '-P 2ac 2n'
loop_
_atom_site_label
_atom_site_fract_x
_atom_site_fract_y
_atom_site_fract_z
Mn1 0.2479 0.2500 0.1653
In1 0.2470 0.2500 0.9633
Te1 0.1005 0.2500 0.6287
Te2 0.1147 0.7500 0.8502

9.
# MnIn3Te (PBE, optimized geometry)
# **ΔE_f (raw)**: 1.14 eV per formula unit
# **Offset from the most stable computed form**: 0 meV per atom
data_MnIn3Te
_chemical_formula_sum 'Mn1 In3 Te1'
_cell_length_a 5.2189
_cell_length_b 5.2189
_cell_length_c 5.2189
_cell_angle_alpha 90.00
_cell_angle_beta 90.00
_cell_angle_gamma 90.00
_space_group_name_H-M_alt 'P m -3 m'
_space_group_IT_number 221
_space_group_name_Hall '-P 4 2 3'
loop_
_atom_site_label
_atom_site_fract_x
_atom_site_fract_y
_atom_site_fract_z
Mn1 0.0000 0.0000 0.0000
In1 0.0000 0.0000 0.5000
Te1 0.5000 0.5000 0.5000

10.
# Mn2InTe4 (PBE, optimized geometry)
# **ΔE_f (raw)**: -1.39 eV per formula unit
# **Offset from the most stable computed form**: 0 meV per atom
data_Mn2InTe4
_chemical_formula_sum 'Mn16 In8 Te32'
_cell_length_a 11.8833
_cell_length_b 11.9320
_cell_length_c 11.9592
_cell_angle_alpha 90.00
_cell_angle_beta 90.00
_cell_angle_gamma 90.00
_space_group_name_H-M_alt 'F d d d'
_space_group_IT_number 70
loop_
_space_group_symop_operation_xyz
'x,y,z'
'-x,-y,-z'
'-x+1/4,-y+1/4,z'
'x+1/4,y+1/4,-z'
'x,-y+1/4,-z+1/4'
'-x,y+1/4,z+1/4'
'-x+1/4,y,-z+1/4'
'x+1/4,-y,z+1/4'
'x,y+1/2,z+1/2'
'-x,-y+1/2,-z+1/2'
'-x+1/4,-y+3/4,z+1/2'
'x+1/4,y+3/4,-z+1/2'
'x,-y+3/4,-z+3/4'
'-x,y+3/4,z+3/4'
'-x+1/4,y+1/2,-z+3/4'
'x+1/4,-y+1/2,z+3/4'
'x+1/2,y,z+1/2'
'-x+1/2,-y,-z+1/2'
'-x+3/4,-y+1/4,z+1/2'
'x+3/4,y+1/4,-z+1/2'
'x+1/2,-y+1/4,-z+3/4'
'-x+1/2,y+1/4,z+3/4'
'-x+3/4,y,-z+3/4'
'x+3/4,-y,z+3/4'
'x+1/2,y+1/2,z'
'-x+1/2,-y+1/2,-z'
'-x+3/4,-y+3/4,z'
'x+3/4,y+3/4,-z'
'x+1/2,-y+3/4,-z+1/4'
'-x+1/2,y+3/4,z+1/4'
'-x+3/4,y+1/2,-z+1/4'
'x+3/4,-y+1/2,z+1/4'
loop_
_atom_site_label
_atom_site_fract_x
_atom_site_fract_y
_atom_site_fract_z
Mn1 0.0000 0.0000 0.0000
In1 0.1250 0.1250 0.6250
Te1 0.0136 0.0140 0.2358

11.
# Mn2InTe4 (PBE, optimized geometry)
# **ΔE_f (raw)**: -1.14 eV per formula unit
# **Offset from the most stable computed form**: 36 meV per atom
data_Mn2InTe4
_chemical_formula_sum 'Mn8 In4 Te16'
_cell_length_a 17.0945
_cell_length_b 3.9183
_cell_length_c 12.6105
_cell_angle_alpha 90.00
_cell_angle_beta 90.00
_cell_angle_gamma 90.00
_space_group_name_H-M_alt 'P n m a'
_space_group_IT_number 62
_space_group_name_Hall '-P 2ac 2n'
loop_
_atom_site_label
_atom_site_fract_x
_atom_site_fract_y
_atom_site_fract_z
Mn1 0.1014 0.2500 0.0217
Mn2 0.2173 0.2500 0.5753
In1 0.0501 0.2500 0.3387
Te1 0.0187 0.7500 0.1261
Te2 0.1137 0.7500 0.5289
Te3 0.1782 0.7500 0.9154
Te4 0.2090 0.2500 0.1858

12.
# MnInTe2 (PBE, optimized geometry)
# **ΔE_f (raw)**: 0.63 eV per formula unit
data_MnInTe2
_chemical_formula_sum 'Mn2 In2 Te4'
_cell_length_a 6.1976
_cell_length_b 8.6940
_cell_length_c 4.5028
_cell_angle_alpha 90.00
_cell_angle_beta 113.98
_cell_angle_gamma 90.00
_space_group_name_H-M_alt 'C 1 2/m 1'
_space_group_IT_number 12
_space_group_name_Hall '-C 2y'
loop_
_atom_site_label
_atom_site_fract_x
_atom_site_fract_y
_atom_site_fract_z
Mn1 0.0000 0.0000 0.0000
In1 0.0000 0.5000 0.0000
Te1 0.2500 0.2500 0.5000